Entry 1:
First-principles (PBE-GGA) data for a geometry-optimized ZrCrMo2 structure, as listed in Alexandria via LeMat-Bulk.

## Properties
Excess energy over the best structure of this formula in the dataset = 0.067 eV/atom
Formation enthalpy at 0 K = 133 meV/atom

Cell and atoms, written as extended XYZ:
```
8
Lattice="3.177 0.000 0.000 0.000 4.594 0.000 0.000 0.000 8.876" Properties=species:S:1:pos:R:3 pbc="T T T"
Zr 0.000 0.000 0.000
Zr 1.588 2.297 0.000
Cr 0.000 0.000 4.438
Cr 1.588 2.297 4.438
Mo 0.000 2.297 2.474
Mo 0.000 2.297 6.402
Mo 1.588 0.000 2.474
Mo 1.588 0.000 6.402
```

***

Entry 2:
First-principles (PBE-GGA) data for a geometry-optimized ZrAl3P structure, as listed in Alexandria via LeMat-Bulk.

## Properties
Excess energy over the best structure of this formula in the dataset = 0.000 eV/atom
Formation enthalpy at 0 K = 394 meV/atom

Cell and atoms, written as extended XYZ:
```
5
Lattice="4.645 0.000 0.000 0.000 4.645 0.000 0.000 0.000 4.645" Properties=species:S:1:pos:R:3 pbc="T T T"
Zr 0.000 0.000 0.000
Al 0.000 2.323 2.323
Al 2.323 0.000 2.323
Al 2.323 2.323 0.000
P 2.323 2.323 2.323
```

***

Entry 3:
First-principles (PBE-GGA) data for a geometry-optimized LiCd2Se structure, as listed in Alexandria via LeMat-Bulk.

## Properties
ΔE_f (raw) = -0.238 eV per atom

Cell and atoms, written as extended XYZ:
```
8
Lattice="4.280 0.000 0.000 0.000 4.280 0.000 0.000 0.000 9.308" Properties=species:S:1:pos:R:3 pbc="T T T"
Li 0.000 0.000 0.000
Li 2.140 2.140 4.654
Cd 0.000 0.000 4.654
Cd 0.000 2.140 2.327
Cd 2.140 0.000 6.981
Cd 2.140 2.140 0.000
Se 0.000 2.140 6.981
Se 2.140 0.000 2.327
```

***

no.,uncorrected energy (eV per cell)
1,-78.61
2,-23.22
3,-16.36